Record 1
4
Lattice="1.653 0.954 9.863 -1.653 0.954 9.863 0.000 -1.909 9.863" Properties=species:S:1:pos:R:3 comment="Ca2TaCu PBE relaxed" e_above_lowest_polymorph_mev_per_atom=255 spacegroup="No. 166" pbc="T T T"
Ca 0.000 0.000 7.239
Ca 0.000 0.000 22.350
Ta 0.000 0.000 0.000
Cu 0.000 0.000 14.795

***

Record 2
4
Lattice="1.685 0.973 10.330 -1.685 0.973 10.330 0.000 -1.945 10.330" Properties=species:S:1:pos:R:3 comment="Pu2InAu PBE relaxed" spacegroup="No. 166" pbc="T T T"
Pu 0.000 0.000 7.590
Pu 0.000 0.000 23.400
In 0.000 0.000 0.000
Au 0.000 0.000 15.495

***

Record 3
8
Lattice="4.831 0.000 0.000 0.000 4.831 0.000 0.000 0.000 10.846" Properties=species:S:1:pos:R:3 comment="KTl6Pd PBE relaxed" spacegroup="No. 123" pbc="T T T"
K 0.000 0.000 0.000
Tl 0.000 2.416 3.781
Tl 0.000 2.416 7.065
Tl 2.416 0.000 3.781
Tl 2.416 0.000 7.065
Tl 2.416 2.416 1.585
Tl 2.416 2.416 9.260
Pd 0.000 0.000 5.423

***

Record 4
12
Lattice="-2.411 3.601 7.234 2.411 -3.601 7.234 2.411 3.601 -7.234" Properties=species:S:1:pos:R:3 comment="Li6Tl5Sn PBE relaxed" spacegroup="No. 71" pbc="T T T"
Li 2.411 1.778 -2.386
Li 0.000 1.755 0.000
Li 2.411 1.778 2.386
Li 0.000 1.823 4.848
Li 0.000 5.447 0.000
Li 0.000 1.823 9.620
Tl 0.000 0.000 2.410
Tl 2.411 0.000 4.845
Tl 0.000 0.000 7.234
Tl 0.000 3.601 2.389
Tl 0.000 0.000 12.058
Sn 2.411 0.000 0.000

***

Number 1: energy relative to the elements 0.59 eV per atom, DFT total energy -0.162 Ha/atom, total magnetic moment 0.0 μB/f.u.. Number 2: energy relative to the elements -0.08 eV per atom, DFT total energy -0.321 Ha/atom, total magnetic moment 11.8 μB/f.u.. Number 3: energy relative to the elements -0.05 eV per atom, DFT total energy -0.096 Ha/atom, total magnetic moment 0.0 μB/f.u.. Number 4: energy relative to the elements -0.24 eV per atom, DFT total energy -0.093 Ha/atom, total magnetic moment 0.0 μB/f.u..